Arrangement a

RbBa2Au | PBE | optimized geometry

extended XYZ file:
```
8
Lattice="4.7932 0.0000 0.0000 -2.3966 4.1510 0.0000 0.0000 0.0000 25.5051" Properties=species:S:1:pos:R:3 pbc="T T T"
Ba 0.0000 2.7674 1.7673
Ba 2.3966 1.3837 14.5199
Ba 2.3966 1.3837 23.7378
Ba 0.0000 2.7674 10.9852
Rb 2.3966 1.3837 19.1288
Rb 0.0000 2.7674 6.3763
Au 0.0000 0.0000 0.0000
Au 0.0000 0.0000 12.7525
```

The space group is P6_3/mmc, No. 194. The calculation puts the magnetization at 0.00 μB/f.u.


Arrangement b

RbBa2Au | PBE | optimized geometry

extended XYZ file:
```
4
Lattice="-1.0875 4.4880 1.4876 -3.3814 2.5775 -2.3367 -9.7044 -1.9876 6.8140" Properties=species:S:1:pos:R:3 pbc="T T T"
Ba -2.7142 1.7078 0.7749
Ba -8.4849 -1.3430 5.7604
Au -2.9839 4.7079 -0.5621
Rb -7.0768 2.5441 2.9739
```

The space group is R3m, No. 160. The calculation puts the magnetization at 0.00 μB/f.u.


Q: Which of them is the most stable? A: arrangement b.


Arrangement a

Rb2BaAu2 | PBE | optimized geometry

extended XYZ file:
```
5
Lattice="4.9995 0.0000 0.0000 0.0000 4.9995 0.0000 2.4997 2.4997 7.8294" Properties=species:S:1:pos:R:3 pbc="T T T"
Rb 2.4997 4.9995 3.9147
Rb 4.9995 2.4997 3.9147
Ba 0.0000 0.0000 0.0000
Au 4.9995 4.9995 6.4427
Au 2.4997 2.4997 1.3867
```

The space group is I4/mmm, No. 139. The calculation puts the magnetization at 0.00 μB/f.u.


Arrangement b

Rb2BaAu2 | PBE | optimized geometry

extended XYZ file:
```
10
Lattice="8.5466 0.0000 0.0000 0.0000 8.5466 0.0000 0.0000 0.0000 5.5697" Properties=species:S:1:pos:R:3 pbc="T T T"
Rb 7.1721 2.8988 2.7848
Rb 1.3745 5.6478 2.7848
Rb 5.6478 7.1721 2.7848
Rb 2.8988 1.3745 2.7848
Ba 0.0000 0.0000 0.0000
Ba 4.2733 4.2733 0.0000
Au 3.2475 7.5208 0.0000
Au 5.2990 1.0257 0.0000
Au 1.0257 3.2475 0.0000
Au 7.5208 5.2990 0.0000
```

The space group is P4/mbm, No. 127. The calculation puts the magnetization at 0.00 μB/f.u.


Q: Which of them is the most stable? A: arrangement b.


Arrangement a

RbBaAu | PBE | optimized geometry

extended XYZ file:
```
6
Lattice="4.6437 0.0000 0.0000 -2.3219 4.0216 0.0000 0.0000 0.0000 16.8101" Properties=species:S:1:pos:R:3 pbc="T T T"
Au 0.0000 0.0000 0.0000
Au 0.0000 2.6811 8.4050
Rb 0.0000 0.0000 6.2098
Rb 0.0000 0.0000 10.6003
Ba 0.0000 2.6811 2.0150
Ba 0.0000 2.6811 14.7951
```

The space group is P-6m2, No. 187. The calculation puts the magnetization at 0.00 μB/f.u.


Arrangement b

RbBaAu | PBE | optimized geometry

extended XYZ file:
```
6
Lattice="4.8815 0.0000 0.0000 0.0000 4.5057 -0.0052 0.0000 -0.0083 14.1499" Properties=species:S:1:pos:R:3 pbc="T T T"
Au 1.2204 2.2537 0.9372
Au 3.6611 2.2436 13.2075
Rb 1.2204 2.2572 5.0135
Rb 3.6611 2.2402 9.1312
Ba 1.2204 4.4958 12.4420
Ba 3.6611 0.0016 1.7027
```

The space group is P2_1/m, No. 11. The calculation puts the magnetization at 0.00 μB/f.u.


Q: Which of them is the most stable? A: arrangement b.